Entry 1:
Nd6Tl3Cu, relaxed, DFT PBE; SG = Pnnm (58); ΔH_f (0 K) = -0.19 eV per atom
1.0
9.442 0.000 0.000
0.000 11.881 0.000
0.000 0.000 5.438
Nd Tl Cu
12 6 2
Direct
0.004 0.238 0.000
0.158 0.079 0.500
0.177 0.424 0.500
0.323 0.924 0.000
0.342 0.579 0.000
0.496 0.738 0.500
0.504 0.262 0.500
0.658 0.421 0.000
0.677 0.076 0.000
0.823 0.576 0.500
0.842 0.921 0.500
0.996 0.762 0.000
0.000 0.500 0.000
0.163 0.748 0.500
0.337 0.248 0.000
0.500 0.000 0.500
0.663 0.752 0.000
0.837 0.252 0.500
0.000 0.000 0.000
0.500 0.500 0.500


Entry 2:
Sr2Zn2Ag, relaxed, DFT PBE; SG = P4/mbm (127); ΔH_f (0 K) = 0.05 eV per atom; polymorph energy (0 for the lowest one) = 142 kJ/mol of formula units
1.0
8.723 0.000 0.000
0.000 8.723 0.000
0.000 0.000 4.261
Sr Zn Ag
4 4 2
Direct
0.185 0.315 0.000
0.315 0.815 0.000
0.685 0.185 0.000
0.815 0.685 0.000
0.105 0.605 0.500
0.395 0.105 0.500
0.605 0.895 0.500
0.895 0.395 0.500
0.000 0.000 0.000
0.500 0.500 0.000